Entry from the Alexandria database: crystalline CrCu2Ru at its relaxed geometry (GGA-PBE).

E_form ... 236.8 meV/atom

Cell lengths 4.4881, 4.4881, 4.4468 Å; angles 103.33, 103.33, 36.33 degrees
Positions (direct):
Cr: 0.0000 0.0000 0.0000
Cu: 0.2502 0.2502 0.6970
Cu: 0.5047 0.5047 0.5040
Ru: 0.7473 0.7473 0.1946

Entry from the Alexandria database: crystalline Cr3CuRu at its relaxed geometry (GGA-PBE).

E_form ... 1574.8 meV/atom

Cell lengths 4.4228, 4.4228, 4.4228 Å; angles 90.00, 90.00, 90.00 degrees
Positions (direct):
Cr: 0.0000 0.0000 0.5000
Cr: 0.0000 0.5000 0.0000
Cr: 0.5000 0.0000 0.0000
Cu: 0.0000 0.0000 0.0000
Ru: 0.5000 0.5000 0.5000

Entry from the Alexandria database: crystalline CrCu2Ru at its relaxed geometry (GGA-PBE).

E_form ... 294.3 meV/atom

Cell lengths 2.5587, 4.0301, 4.8531 Å; angles 90.00, 90.18, 90.00 degrees
Positions (direct):
Cr: 0.0000 0.0000 0.0000
Cu: 0.4999 0.5000 0.2469
Cu: 0.5001 0.5000 0.7531
Ru: 0.0000 0.0000 0.5000